The following is a PBE calculation of crystalline TmHf3Mg2N6 at its relaxed geometry, from Alexandria.

POSCAR file:
```
TmHf3Mg2N6
1.0
-0.6700 -1.4863 -2.7797
-5.2048 -2.7005 2.6984
-2.1148 6.7773 -1.2460
N Hf Mg Tm
6 3 2 1
direct
0.6647 0.5896 0.3294
0.3290 0.9247 0.6579
0.9971 0.2610 0.9942
0.3353 0.4104 0.6706
0.6710 0.0753 0.3421
0.0029 0.7390 0.0058
0.1699 0.8282 0.3398
0.8301 0.1718 0.6602
0.5000 0.5000 0.0000
0.8305 0.6602 0.6610
0.1695 0.3398 0.3390
0.5000 0.0000 0.0000
```

Results
spin magnetization: 0.0 μB per formula unit
symmetry: C2/m, No. 12
raw formation energy: -1.59 eV/atom
D(E_F): 1.5 states/eV/f.u.